The following is a DFT calculation (PBE-GGA) of a relaxed structure of Cs2Hg8Au.

Geometry as POSCAR:
```
Cs2Hg8Au
1.0
5.1942 0.0000 0.0000
0.0000 5.1942 0.0000
0.0000 0.0000 14.6614
Cs Hg Au
2 8 1
Cartesian
0.0000 0.0000 2.9405
0.0000 0.0000 11.7209
0.0000 2.5971 0.0000
0.0000 2.5971 5.7697
0.0000 2.5971 8.8917
2.5971 0.0000 0.0000
2.5971 0.0000 5.7697
2.5971 0.0000 8.8917
2.5971 2.5971 3.8798
2.5971 2.5971 10.7816
0.0000 0.0000 7.3307
```

Calculated values
- Space group: P4/mmm
- ΔE to the lowest computed polymorph: 1.4 kJ/mol of atoms
- N(E_F): 4.97 states/eV/f.u.
- Crystal system: tetragonal
- Calculated formation energy: -14.99 kJ/mol of atoms